Record 1
The following is a GGA-PBE calculation of an optimized crystal structure of Ac8TlHg2, from the Alexandria database.

Properties
Formation energy from the elements (eV/atom): -0.19
Total DFT energy (no corrections) (eV per atom): -3.445
Excess energy over the best structure of this formula in the dataset (kJ/mol of atoms): 1.2
Size of the total moment (μB/cell): 0.00

```
Ac8TlHg2
1.0
10.0965 -2.8358 0.0000
10.0965 2.8358 0.0000
-2.4896 0.0000 7.5825
Ac Tl Hg
8 1 2
Direct
0.0256 0.0256 0.2678 Ac
0.1970 0.1970 0.8191 Ac
0.3298 0.3298 0.5256 Ac
0.4095 0.4095 0.0374 Ac
0.5905 0.5905 0.9626 Ac
0.6702 0.6702 0.4744 Ac
0.8030 0.8030 0.1809 Ac
0.9744 0.9744 0.7322 Ac
0.5000 0.5000 0.5000 Tl
0.1809 0.1809 0.2109 Hg
0.8191 0.8191 0.7891 Hg
```

Record 2
The following is a GGA-PBE calculation of an optimized crystal structure of PrSn2As2Rh7, from the Alexandria database.

Properties
Formation energy from the elements (eV/atom): -0.25
Total DFT energy (no corrections) (eV per atom): -6.384
Size of the total moment (μB/cell): 0.00

```
PrSn2As2Rh7
1.0
2.8019 -2.7885 0.0000
2.8019 2.7885 0.0000
-2.0320 0.0000 14.4167
Pr Sn As Rh
1 2 2 7
Direct
0.0000 0.0000 0.0000 Pr
0.1187 0.1187 0.4002 Sn
0.8813 0.8813 0.5998 Sn
0.4101 0.4101 0.7467 As
0.5899 0.5899 0.2533 As
0.0548 0.5556 0.1563 Rh
0.3667 0.3667 0.5769 Rh
0.4444 0.9452 0.8437 Rh
0.5000 0.5000 0.0000 Rh
0.5556 0.0548 0.1563 Rh
0.6333 0.6333 0.4231 Rh
0.9452 0.4444 0.8437 Rh
```

Record 3
The following is a GGA-PBE calculation of an optimized crystal structure of InGaMoAu2, from the Alexandria database.

Properties
Formation energy from the elements (eV/atom): 0.95
Total DFT energy (no corrections) (eV per atom): -3.684
Size of the total moment (μB/cell): 4.05

```
InGaMoAu2
1.0
4.8521 0.0000 0.0000
0.0000 4.8521 0.0000
0.0000 0.0000 5.1213
In Ga Mo Au
1 1 1 2
Direct
0.0000 0.0000 0.0000 In
0.0000 0.0000 0.5000 Ga
0.5000 0.5000 0.0000 Mo
0.0000 0.5000 0.5000 Au
0.5000 0.0000 0.5000 Au
```

Record 4
The following is a GGA-PBE calculation of an optimized crystal structure of NbCdSbBr2, from the Alexandria database.

Properties
Uncorrected formation energy (kJ/mol of formula units): -25
Total DFT energy (no corrections) (eV per atom): -3.742
Size of the total moment (μB/cell): 0.00

```
NbCdSbBr2
1.0
5.1171 0.0000 0.0000
0.0000 5.1171 0.0000
0.0000 0.0000 5.6634
Nb Cd Sb Br
1 1 1 2
Direct
0.0000 0.0000 0.0000 Nb
0.5000 0.5000 0.5000 Cd
0.0000 0.0000 0.5000 Sb
0.0000 0.5000 0.0000 Br
0.5000 0.0000 0.0000 Br
```

Record 5
The following is a GGA-PBE calculation of an optimized crystal structure of Nd2Al3, from the Alexandria database.

Properties
Formation energy from the elements (eV/atom): -0.42
Total DFT energy (no corrections) (eV per atom): -4.568
Size of the total moment (μB/cell): 0.00

```
Nd2Al3
1.0
2.8043 -5.3796 0.0000
2.8043 5.3796 0.0000
0.0000 0.0000 8.1306
Nd Al
4 6
Direct
0.1569 0.8431 0.9019 Nd
0.3431 0.6569 0.4019 Nd
0.6569 0.3431 0.5981 Nd
0.8431 0.1569 0.0981 Nd
0.0000 0.0000 0.5000 Al
0.1530 0.3470 0.7500 Al
0.3470 0.1530 0.2500 Al
0.5000 0.5000 0.0000 Al
0.6530 0.8470 0.7500 Al
0.8470 0.6530 0.2500 Al
```

Record 6
The following is a GGA-PBE calculation of an optimized crystal structure of HfTlSe3, from the Alexandria database.

Properties
Uncorrected formation energy (kJ/mol of formula units): -401
Total DFT energy (no corrections) (eV per atom): -5.385
Excess energy over the best structure of this formula in the dataset (kJ/mol of atoms): 0.0
Size of the total moment (μB/cell): 0.00

```
HfTlSe3
1.0
8.4361 -1.8955 0.0000
8.4361 1.8955 0.0000
-1.4766 0.0000 9.5228
Hf Tl Se
2 2 6
Direct
0.2041 0.2041 0.3359 Hf
0.7959 0.7959 0.6641 Hf
0.3949 0.3949 0.0571 Tl
0.6051 0.6051 0.9429 Tl
0.0646 0.0646 0.1781 Se
0.2398 0.2398 0.8171 Se
0.3503 0.3503 0.5036 Se
0.6497 0.6497 0.4964 Se
0.7602 0.7602 0.1829 Se
0.9354 0.9354 0.8219 Se
```